No. 1
Nd4BiRu, relaxed, DFT PBE-GGA; ρ = 7.9 g/cm3; M_tot = 0.0 μB per formula unit; volume = 31.14 Å³ per atom; N(E_F) = 11.068 states/eV per cell; symmetry = C2/c, No. 15; electronic total energy = -5.7819 eV/atom
1.0
-4.248 4.627 1.136
-1.133 -6.180 6.147
7.314 4.014 0.464
Nd Ru Bi
8 2 2
Direct
0.629 0.061 0.343 Nd
0.054 0.207 0.859 Nd
0.214 0.282 0.343 Nd
0.786 0.718 0.657 Nd
0.371 0.939 0.657 Nd
0.946 0.793 0.141 Nd
0.306 0.653 0.859 Nd
0.694 0.347 0.141 Nd
0.250 0.000 0.000 Ru
0.750 0.000 0.000 Ru
0.624 0.374 0.747 Bi
0.376 0.626 0.253 Bi

No. 2
Nd7Bi2Ru2, relaxed, DFT PBE-GGA; ρ = 7.5 g/cm3; M_tot = 0.0 μB per formula unit; volume = 32.81 Å³ per atom; N(E_F) = 8.779 states/eV per cell; symmetry = Cmmm, No. 65; electronic total energy = -5.7369 eV/atom
1.0
-0.731 -6.246 -3.156
6.596 0.923 -3.355
3.283 -1.740 5.975
Bi Nd Ru
2 7 2
Direct
0.799 0.500 0.799 Bi
0.201 0.500 0.201 Bi
0.000 0.000 0.000 Nd
0.500 0.759 0.000 Nd
0.500 0.226 0.500 Nd
0.000 0.241 0.500 Nd
0.500 0.774 0.500 Nd
0.000 0.759 0.500 Nd
0.500 0.241 0.000 Nd
0.277 0.000 0.723 Ru
0.723 0.000 0.277 Ru

No. 3
Nd8BiRu2, relaxed, DFT PBE-GGA; ρ = 7.7 g/cm3; M_tot = 0.0 μB per formula unit; volume = 30.76 Å³ per atom; N(E_F) = 12.006 states/eV per cell; symmetry = C2/m, No. 12; electronic total energy = -5.7174 eV/atom
1.0
-2.095 5.049 1.756
-7.137 -3.655 -1.531
3.471 -2.235 7.043
Nd Bi Ru
8 1 2
Direct
0.936 0.926 0.670 Nd
0.936 0.670 0.926 Nd
0.500 0.751 0.249 Nd
0.297 0.603 0.603 Nd
0.064 0.074 0.330 Nd
0.500 0.249 0.751 Nd
0.703 0.397 0.397 Nd
0.064 0.330 0.074 Nd
0.500 0.000 0.000 Bi
0.000 0.299 0.701 Ru
0.000 0.701 0.299 Ru